#w
! Pm2Tm6Th, optimized geometry, DFT GGA-PBE; values from VASP
! Space group: C2/c (15)
! V: 566.0 Å³/cell
&SYSTEM
  ibrav = 0, nat = 18, ntyp = 3
/
ATOMIC_SPECIES
Pm 145.00 Pm.upf
Tm 168.93 Tm.upf
Th 232.04 Th.upf
CELL_PARAMETERS angstrom
-1.4025 5.1387 3.2086
-10.7301 1.2528 4.3966
5.8003 2.3669 9.8382
ATOMIC_POSITIONS crystal
Pm 0.9994 0.6516 0.8484
Pm 0.5006 0.1516 0.3484
Pm 0.0006 0.3484 0.1516
Pm 0.4994 0.8484 0.6516
Tm 0.3315 0.6661 0.5036
Tm 0.1685 0.4964 0.3339
Tm 0.6685 0.3339 0.4964
Tm 0.8315 0.5036 0.6661
Tm 0.9660 0.9061 0.4066
Tm 0.5340 0.5934 0.0939
Tm 0.0340 0.0939 0.5934
Tm 0.4660 0.4066 0.9061
Tm 0.1683 0.8335 0.9966
Tm 0.3317 0.0034 0.1665
Tm 0.8317 0.1665 0.0034
Tm 0.6683 0.9966 0.8335
Th 0.2500 0.2501 0.7499
Th 0.7500 0.7499 0.2501



#x
! Pm2Tm6Th, optimized geometry, DFT GGA-PBE; values from VASP
! Space group: C2/m (12)
! V: 281.2 Å³/cell
&SYSTEM
  ibrav = 0, nat = 9, ntyp = 3
/
ATOMIC_SPECIES
Pm 145.00 Pm.upf
Tm 168.93 Tm.upf
Th 232.04 Th.upf
CELL_PARAMETERS angstrom
-1.2952 -0.3097 -3.1836
1.1718 -9.6208 0.4590
-9.6072 3.7120 -0.2209
ATOMIC_POSITIONS crystal
Pm 0.3333 0.3334 0.6667
Pm 0.6667 0.6666 0.3333
Tm 0.8313 0.9998 0.6686
Tm 0.1687 0.3311 0.3314
Tm 0.1687 0.0002 0.3314
Tm 0.5000 0.3313 0.0000
Tm 0.8313 0.6689 0.6686
Tm 0.5000 0.6687 0.0000
Th 0.0000 0.0000 0.0000



The relative energies come out as #w 0.051; #x 0.000, with values in eV/atom.



#w
! Pm2Tm5Th2, optimized geometry, DFT GGA-PBE; values from VASP
! Space group: Ima2 (46)
! V: 580.5 Å³/cell
&SYSTEM
  ibrav = 0, nat = 18, ntyp = 3
/
ATOMIC_SPECIES
Pm 145.00 Pm.upf
Tm 168.93 Tm.upf
Th 232.04 Th.upf
CELL_PARAMETERS angstrom
11.8257 0.0000 0.0000
0.0000 6.6147 0.0000
-5.9128 -3.3073 7.4216
ATOMIC_POSITIONS crystal
Pm 0.1260 0.6777 0.2527
Pm 0.8740 0.4250 0.7473
Pm 0.6267 0.1777 0.2527
Pm 0.3733 0.9250 0.7473
Tm 0.2037 0.6549 0.8929
Tm 0.7963 0.7620 0.1071
Tm 0.1892 0.1549 0.8929
Tm 0.8108 0.2620 0.1071
Tm 0.3712 0.0472 0.2849
Tm 0.6288 0.7623 0.7151
Tm 0.4137 0.5472 0.2849
Tm 0.5863 0.2623 0.7151
Tm 0.0120 0.6531 0.5000
Tm 0.9880 0.1531 0.5000
Th 0.0000 0.0109 0.0000
Th 0.5000 0.5109 0.0000
Th 0.2534 0.3429 0.5000
Th 0.7466 0.8429 0.5000



#x
! Pm2Tm5Th2, optimized geometry, DFT GGA-PBE; values from VASP
! Space group: C2/m (12)
! V: 305.9 Å³/cell
&SYSTEM
  ibrav = 0, nat = 9, ntyp = 3
/
ATOMIC_SPECIES
Pm 145.00 Pm.upf
Tm 168.93 Tm.upf
Th 232.04 Th.upf
CELL_PARAMETERS angstrom
-0.7535 -1.1492 -3.1798
2.3213 -7.4279 2.1344
-11.6495 4.1316 3.1542
ATOMIC_POSITIONS crystal
Pm 0.8238 0.7967 0.6476
Pm 0.1762 0.2033 0.3524
Tm 0.6921 0.8418 0.3843
Tm 0.3079 0.1582 0.6157
Tm 0.9084 0.5441 0.8169
Tm 0.0916 0.4559 0.1831
Tm 0.0000 0.0000 0.0000
Th 0.5518 0.7530 0.1035
Th 0.4482 0.2470 0.8965



The relative energies come out as #w 0.000; #x 0.020, with values in eV/atom.



#w
! Pm3TmTh, optimized geometry, DFT GGA-PBE; values from VASP
! Space group: C2/m (12)
! V: 338.2 Å³/cell
&SYSTEM
  ibrav = 0, nat = 10, ntyp = 3
/
ATOMIC_SPECIES
Pm 145.00 Pm.upf
Tm 168.93 Tm.upf
Th 232.04 Th.upf
CELL_PARAMETERS angstrom
8.2379 2.7739 0.9468
-8.2379 2.7739 0.9468
0.0000 3.2657 8.5143
ATOMIC_POSITIONS crystal
Pm 0.2444 0.2444 0.7525
Pm 0.7556 0.7556 0.2475
Pm 0.8630 0.6279 0.7526
Pm 0.3721 0.1370 0.2474
Pm 0.1370 0.3721 0.2474
Pm 0.6279 0.8630 0.7526
Tm 0.6911 0.3089 0.5000
Tm 0.3089 0.6911 0.5000
Th 0.8062 0.1938 0.0000
Th 0.1938 0.8062 0.0000



#x
! Pm3TmTh, optimized geometry, DFT GGA-PBE; values from VASP
! Space group: Amm2 (38)
! V: 182.5 Å³/cell
&SYSTEM
  ibrav = 0, nat = 5, ntyp = 3
/
ATOMIC_SPECIES
Pm 145.00 Pm.upf
Tm 168.93 Tm.upf
Th 232.04 Th.upf
CELL_PARAMETERS angstrom
3.4383 0.0000 0.0000
0.0000 8.6155 -2.0308
0.0000 -4.9617 7.3302
ATOMIC_POSITIONS crystal
Pm 0.5000 0.1506 0.3737
Pm 0.5000 0.6263 0.8494
Pm 0.0000 0.2240 0.7760
Tm 0.5000 0.0532 0.9468
Th 0.0000 0.5740 0.4260



The relative energies come out as #w 0.000; #x 0.283, with values in eV/atom.



#w
! PmTm2Th2, optimized geometry, DFT GGA-PBE; values from VASP
! Space group: P-3m1 (164)
! V: 159.1 Å³/cell
&SYSTEM
  ibrav = 0, nat = 5, ntyp = 3
/
ATOMIC_SPECIES
Pm 145.00 Pm.upf
Tm 168.93 Tm.upf
Th 232.04 Th.upf
CELL_PARAMETERS angstrom
-2.2782 1.1751 2.4595
-0.3379 -3.2852 -1.3090
8.7154 -5.0803 10.5004
ATOMIC_POSITIONS crystal
Pm 0.0000 0.0000 0.5000
Tm 0.6667 0.3333 0.6994
Tm 0.3333 0.6667 0.3006
Th 0.3333 0.6667 0.9003
Th 0.6667 0.3333 0.0997



#x
! PmTm2Th2, optimized geometry, DFT GGA-PBE; values from VASP
! Space group: R-3m (166)
! V: 159.0 Å³/cell
&SYSTEM
  ibrav = 0, nat = 5, ntyp = 3
/
ATOMIC_SPECIES
Pm 145.00 Pm.upf
Tm 168.93 Tm.upf
Th 232.04 Th.upf
CELL_PARAMETERS angstrom
-2.0077 -0.2298 -2.9410
-2.9340 -2.0310 -0.0032
-9.4544 10.5180 3.4677
ATOMIC_POSITIONS crystal
Pm 0.0000 0.0000 0.0000
Tm 0.4009 0.4009 0.7972
Tm 0.5991 0.5991 0.2028
Th 0.8006 0.8006 0.5983
Th 0.1994 0.1994 0.4017



The relative energies come out as #w 0.015; #x 0.000, with values in eV/atom.